## Na2MgBOs (PBEsol)

Data for a relaxed Na2MgBOs crystal.

a b c (Å): 4.0501 4.8042 4.8042
angles (deg): 90.00 90.00 90.00
With the nearest neighbours (Å) after each atom.
Atoms (fractional coordinates):
Os 0.5000 0.0000 0.0000  2 B 2.03
Mg 0.5000 0.5000 0.5000  8 Na 3.14, 4 Os 3.40
Na 0.0000 0.0000 0.5000  2 B 2.40
Na 0.0000 0.5000 0.0000  2 B 2.40
B 0.0000 0.0000 0.0000  2 Os 2.03

Calculated values
SG   P4/mmm, No. 123
Magnetic moment   0.3 μB/f.u.
Density   4.820 g/cm3
N(E_F)   0.77 states/eV/atom
Formation energy   735 meV/atom